[1]
A plane-wave DFT calculation with PBE was carried out for a geometry-optimized Eu3Sc5Bi12 structure.

extended XYZ file:
```
80
Lattice="15.811 0.000 0.000 -5.270 14.907 0.000 -5.270 -7.453 12.910" Properties=species:S:1:pos:R:3 pbc="T T T"
Sc -3.953 8.385 4.841
Eu 9.223 10.248 1.614
Eu -3.953 2.795 11.296
Sc 6.588 3.727 9.682
Sc 1.318 -3.727 9.682
Eu 6.588 0.932 4.841
Bi 3.529 9.759 0.709
Eu -1.318 6.522 8.068
Bi 7.833 8.233 6.856
Bi -0.894 5.147 0.709
Bi 6.165 -1.767 11.267
Bi -5.198 6.674 6.856
Bi 6.819 10.873 3.702
Bi -1.549 -3.420 9.208
Eu 9.223 4.658 1.614
Bi -1.086 8.950 4.812
Bi 9.455 -4.916 11.799
Sc 0.000 0.000 0.000
Sc 2.635 3.727 6.455
Bi -0.072 1.126 2.753
Bi 6.165 2.306 12.200
Bi 11.627 4.034 3.702
Bi 3.529 5.686 1.642
Bi 3.721 5.957 4.812
Bi 7.786 13.856 0.401
Bi 2.708 1.906 4.103
Bi 1.549 1.496 8.097
Bi -2.563 -0.780 6.054
Bi 10.421 -3.549 7.565
Bi 0.072 9.359 8.807
Bi -6.165 0.539 10.558
Bi -4.184 12.369 1.110
Bi 7.978 -1.126 2.753
Eu -6.588 7.453 9.682
Sc -1.318 12.112 1.614
Bi 5.390 2.854 7.164
Sc -5.270 3.727 6.455
Bi 2.563 5.547 8.807
Sc 3.953 2.795 1.614
Bi 7.786 3.905 5.344
Bi 2.516 -2.854 7.164
Bi 10.660 1.051 0.401
Sc 7.905 0.000 0.000
Bi 1.741 -2.306 12.200
Sc 3.953 11.180 3.227
Bi 1.741 1.767 11.267
Bi -0.894 9.221 1.642
Eu 1.318 -0.932 4.841
Bi -2.708 8.580 10.157
Bi 5.198 -1.906 4.103
Sc -2.635 7.453 0.000
Sc 6.588 6.522 4.841
Bi 6.356 -1.496 8.097
Bi 6.819 2.538 1.110
Bi -2.516 3.549 7.565
Eu 1.318 7.453 3.227
Bi 7.011 7.992 2.352
Bi 5.343 6.327 10.157
Bi -5.390 6.403 12.509
Sc 5.270 7.453 0.000
Bi -1.741 -0.539 10.558
Bi -6.356 3.420 9.208
Eu 11.858 0.000 3.227
Sc 6.588 -4.658 11.296
Bi 11.435 6.915 2.352
Eu 3.953 0.000 9.682
Eu 3.953 8.385 8.068
Bi 10.468 0.780 6.054
Sc 9.223 -0.932 8.068
Sc -1.318 3.727 3.227
Eu -3.953 -2.795 11.296
Bi -5.151 11.002 5.344
Bi -0.119 4.599 5.745
Bi -2.516 -6.403 12.509
Sc 1.318 4.658 11.296
Bi 2.754 10.307 5.745
Sc -2.635 -3.727 6.455
Sc -1.318 0.932 8.068
Sc 5.270 -3.727 6.455
Bi -1.549 4.916 11.799
```

## Properties
E_form in eV per atom: -0.18
Total energy in eV per atom: -5.635
Space group: Ia-3d, No. 230
V in Å³ per cell: 3042.6


[2]
A plane-wave DFT calculation with PBE was carried out for a geometry-optimized EuScBi structure.

extended XYZ file:
```
3
Lattice="-1.881 2.265 3.145 2.419 -2.755 3.432 2.095 4.205 -1.775" Properties=species:S:1:pos:R:3 pbc="T T T"
Bi 1.889 2.262 0.484
Sc -0.314 0.378 0.524
Eu 1.057 1.075 3.793
```

## Properties
E_form in eV per atom: -0.39
Total energy in eV per atom: -7.222
Space group: P-6m2, No. 187
V in Å³ per cell: 94.1


[3]
A plane-wave DFT calculation with PBE was carried out for a geometry-optimized EuScBi2 structure.

extended XYZ file:
```
4
Lattice="-3.348 1.598 0.232 -1.611 -3.271 -0.722 -0.241 -1.705 8.257" Properties=species:S:1:pos:R:3 pbc="T T T"
Bi -0.054 -0.381 1.843
Eu -2.600 -1.689 3.884
Sc -2.480 -0.837 -0.245
Bi -0.187 -1.324 6.414
```

## Properties
Relative energy among the computed polymorphs in meV/atom: 108
E_form in eV per atom: -0.59
Total energy in eV per atom: -6.682
Space group: P4/mmm, No. 123
V in Å³ per cell: 116.6


[4]
A plane-wave DFT calculation with PBE was carried out for a geometry-optimized EuScBi2 structure.

extended XYZ file:
```
4
Lattice="4.436 0.000 0.000 2.218 3.842 0.000 2.218 1.281 7.433" Properties=species:S:1:pos:R:3 pbc="T T T"
Sc 0.000 0.000 0.000
Bi 2.218 1.281 1.638
Eu 4.436 2.561 3.716
Bi 6.654 3.842 5.795
```

## Properties
Relative energy among the computed polymorphs in meV/atom: 0
E_form in eV per atom: -0.70
Total energy in eV per atom: -6.790
Space group: R-3m, No. 166
V in Å³ per cell: 126.7


[5]
A plane-wave DFT calculation with PBE was carried out for a geometry-optimized EuBiSe2 structure.

extended XYZ file:
```
4
Lattice="-0.243 3.609 2.056 0.803 0.128 4.080 8.909 2.840 0.279" Properties=species:S:1:pos:R:3 pbc="T T T"
Se 3.276 4.234 5.586
Bi 0.000 0.000 0.000
Se 6.192 2.343 0.829
Eu 4.734 3.289 3.208
```

## Properties
Total energy in eV per atom: -6.148
Space group: R-3m, No. 166
V in Å³ per cell: 135.5


[6]
A plane-wave DFT calculation with PBE was carried out for a geometry-optimized Eu3Bi5Se12 structure.

extended XYZ file:
```
80
Lattice="-5.283 0.261 14.072 8.114 -12.484 -2.075 8.673 12.057 -2.321" Properties=species:S:1:pos:R:3 pbc="T T T"
Se 2.172 -4.063 4.059
Se 5.468 -7.848 9.133
Bi 4.362 -3.085 8.386
Se 6.037 7.683 0.542
Se 3.991 5.466 4.208
Eu 8.559 -3.192 7.287
Se 7.514 -5.631 5.467
Se 6.684 -3.482 9.865
Eu 8.957 7.462 -0.791
Bi 8.678 -4.809 -0.668
Se -1.035 2.193 8.339
Eu 12.944 -1.848 -1.798
Se 5.185 1.630 7.134
Se 3.395 -4.122 0.859
Se 9.332 3.897 5.616
Se 13.763 0.737 -0.065
Eu 2.547 -7.627 10.466
Eu 9.525 -1.729 2.270
Bi 2.827 4.644 10.343
Se 1.378 6.845 11.232
Se 11.440 0.800 2.698
Bi 7.143 2.920 1.289
Bi 4.641 9.186 8.263
Se 8.163 -9.764 -1.012
Bi 4.337 6.029 -1.161
Bi 5.967 -7.746 6.399
Se 8.029 10.419 0.009
Eu 1.979 1.564 7.406
Se 10.417 -3.619 4.716
Se 1.087 3.454 4.959
Se 6.320 -1.795 2.541
Se 12.540 -2.358 1.336
Se 11.147 0.757 -2.278
Se 2.933 0.603 4.505
Bi 4.551 -1.634 0.400
Se 1.211 -5.015 11.746
Bi 1.416 -6.111 5.998
Se 4.821 3.317 -0.190
Bi 6.863 -9.351 1.412
Se 8.825 0.855 0.485
Bi 4.057 -6.242 -1.038
Se 8.572 -0.768 5.170
Bi 5.538 7.581 3.277
Se 5.827 2.615 3.720
Se 6.505 7.124 8.155
Se 3.342 9.599 10.688
Se 9.905 -2.320 -0.853
Se 0.065 -0.965 6.977
Bi -2.641 0.131 7.036
Se 10.127 -7.010 -1.556
Bi 8.394 -0.213 -2.198
Bi 10.373 1.351 5.207
Se -2.258 -0.902 9.741
Se 10.293 4.850 -2.071
Se 2.680 -1.020 9.190
Bi 0.000 0.000 0.000
Eu 0.165 -2.978 9.486
Bi 1.695 6.159 5.875
Se 1.600 2.154 10.529
Eu -1.440 1.683 11.473
Se 8.185 -4.629 2.063
Bi 6.954 1.469 9.275
Se 2.848 0.563 0.320
Bi 5.752 -0.083 4.838
Eu 2.946 3.026 2.388
Se 8.657 -0.728 9.355
Eu 5.259 -4.690 3.400
Se 0.358 -0.922 11.953
Se 7.699 7.047 4.944
Se 3.475 -10.584 9.666
Se 3.805 -7.212 4.731
Eu 11.340 2.813 0.190
Bi 1.132 -1.516 4.468
Se 2.406 -5.057 8.535
Se 5.000 -7.289 1.520
Se 8.109 3.957 8.816
Se 5.677 -2.780 5.955
Eu 6.246 4.525 6.276
Se 3.319 4.464 7.612
Se 9.099 4.892 1.140
```

## Properties
Total energy in eV per atom: -5.336
Space group: Ia-3d, No. 230
V in Å³ per cell: 2615.3